Record 1
A plane-wave DFT calculation with PBE was carried out for YRu7 after structural relaxation.

```
YRu7
1.0
5.3930 0.6705 1.1284
1.5671 2.2380 4.8314
2.4413 -3.1561 3.8583
Y Ru
1 7
Cartesian
0.0000 0.0000 0.0000
2.0042 -0.4590 4.3449
3.9171 -1.2428 2.4933
3.4800 1.4542 2.9799
1.2206 -1.5780 1.9291
0.7835 1.1190 2.4157
2.6965 0.3352 0.5642
4.7007 -0.1238 4.9091
```

Output
ΔE_f	0.197	eV/atom
D(E_F)	10.70	states/eV/f.u.
space-group type	No. 225
raw total energy	-8.73	eV/atom
magnetic moment	0.00	μB per formula unit

---

Record 2
A plane-wave DFT calculation with PBE was carried out for YZnRu2 after structural relaxation.

```
YZnRu2
1.0
-0.2028 -1.5922 2.5372
-0.9116 -2.3896 -1.5725
7.2564 -2.2292 -0.8188
Ru Y Zn
2 1 1
Cartesian
0.0646 -0.0198 -0.0073
0.9615 -2.4575 0.3110
3.5664 -1.0956 -0.4024
5.1776 -3.7527 -0.1648
```

Output
ΔE_f	0.015	eV/atom
D(E_F)	3.77	states/eV/f.u.
space-group type	No. 99
raw total energy	-6.56	eV/atom
magnetic moment	0.00	μB per formula unit

---

Record 3
A plane-wave DFT calculation with PBE was carried out for YZnRu2 after structural relaxation.

```
YZnRu2
1.0
-3.4622 -2.8134 2.5126
2.0469 -2.8576 3.7228
0.3222 4.9454 -1.2863
Ru Y Zn
2 1 1
Cartesian
0.0000 0.0000 0.0000
0.8308 -0.3739 2.7771
-0.7076 -2.8355 3.1177
-1.9238 -0.3518 2.1720
```

Output
ΔE_f	0.053	eV/atom
D(E_F)	5.42	states/eV/f.u.
space-group type	No. 119
raw total energy	-6.52	eV/atom
magnetic moment	0.82	μB per formula unit

---

Record 4
A plane-wave DFT calculation with PBE was carried out for YZn2Ru2 after structural relaxation.

```
YZn2Ru2
1.0
-5.3366 -2.4866 -4.4092
1.8785 -6.9222 1.6303
-1.9735 0.0238 2.3751
Y Ru Zn
2 4 4
Cartesian
0.0000 0.0000 0.0000
-1.7291 -4.7044 -1.3895
-0.3556 -6.9842 -0.2254
-3.4915 -6.5047 -2.8357
-3.1025 -2.4247 -2.5535
0.0333 -2.9042 0.0568
-0.6243 -5.0185 1.5392
-2.9800 -7.4138 -0.3941
-4.8073 -4.3665 -1.9430
-2.4516 -1.9712 -0.0097
```

Output
ΔE_f	-0.048	eV/atom
polymorph energy (0 for the lowest one)	0.031	eV per atom
D(E_F)	5.80	states/eV/f.u.
space-group type	No. 127
raw total energy	-5.56	eV/atom
magnetic moment	0.00	μB per formula unit

---

Record 5
A plane-wave DFT calculation with PBE was carried out for Y3Zn8Ru after structural relaxation.

```
Y3Zn8Ru
1.0
-0.2724 -4.9234 -1.8660
0.5480 -4.0946 3.2756
-8.6789 -3.0542 1.8770
Y Zn Ru
3 8 1
Cartesian
-7.3960 -6.0536 2.1558
-0.0663 -9.0199 1.4644
-4.0716 -6.0354 1.6224
-1.7418 -6.9852 0.0453
-5.4832 -8.1088 3.5096
-1.6049 -4.5109 0.9831
-5.6170 -10.5272 2.5930
-3.7246 -3.0270 1.0822
-7.9853 -9.0634 2.7349
-1.3295 -6.5687 2.6293
-5.8861 -8.5158 0.9840
-2.8609 -9.0352 1.9128
```

Output
ΔE_f	-0.287	eV/atom
D(E_F)	5.14	states/eV/f.u.
space-group type	No. 160
raw total energy	-3.53	eV/atom
magnetic moment	0.00	μB per formula unit

---

Record 6
A plane-wave DFT calculation with PBE was carried out for YZnRu2 after structural relaxation.

```
YZnRu2
1.0
-1.6173 -1.4967 -2.5014
2.1437 -2.5501 0.1398
-3.6731 -2.8636 4.0883
Ru Y Zn
2 1 1
Cartesian
-3.5095 -2.7361 3.9062
-2.0001 -1.5593 2.2262
-0.6551 -2.7393 -0.1587
-2.4916 -4.1711 1.8854
```

Output
ΔE_f	-0.032	eV/atom
D(E_F)	3.75	states/eV/f.u.
space-group type	No. 123
raw total energy	-6.60	eV/atom
magnetic moment	1.12	μB per formula unit

---

Record 7
A plane-wave DFT calculation with PBE was carried out for YZnRu2 after structural relaxation.

```
YZnRu2
1.0
4.5991 0.0000 0.0000
2.2996 3.9830 0.0000
2.2996 1.3277 3.7552
Ru Y Zn
2 1 1
Cartesian
0.0000 0.0000 0.0000
2.2996 1.3277 0.9388
4.5991 2.6553 1.8776
6.8987 3.9830 2.8164
```

Output
ΔE_f	0.088	eV/atom
D(E_F)	5.69	states/eV/f.u.
space-group type	No. 216
raw total energy	-6.48	eV/atom
magnetic moment	1.55	μB per formula unit

---

Record 8
A plane-wave DFT calculation with PBE was carried out for YZnRu2 after structural relaxation.

```
YZnRu2
1.0
-1.1500 3.4865 -2.4961
-2.5576 -1.4364 -0.8280
-3.4041 1.4864 3.6444
Ru Y Zn
2 1 1
Cartesian
-2.3824 -1.2390 -0.6331
-1.8023 1.6861 -0.7624
-3.0263 0.0932 1.5244
-5.4391 1.5847 0.7715
```

Output
ΔE_f	0.011	eV/atom
D(E_F)	4.42	states/eV/f.u.
space-group type	No. 6
raw total energy	-6.56	eV/atom
magnetic moment	0.00	μB per formula unit